Entry 1:
First-principles (PBE) data for crystalline Ti4Nb2N at its relaxed geometry, as listed in the Alexandria database.

Unit cell a=7.790 b=7.790 c=7.790 alpha=150.23 beta=150.23 gamma=42.61
Element x y z (fractional)
Ti  0.000  0.500  0.500
Ti  0.144  0.144  0.000
Ti  0.500  0.000  0.500
Ti  0.856  0.856  0.000
Nb  0.341  0.341  0.000
Nb  0.659  0.659  0.000
N  0.000  0.000  0.000

* symmetry: I4/mmm (139)
* E_tot: -8.83 eV/atom
* ΔE_f (raw): -0.2556 eV/atom
* total magnetic moment: 0.00 Bohr magnetons per cell


Entry 2:
First-principles (PBE) data for crystalline KBeIr2 at its relaxed geometry, as listed in the Alexandria database.

Unit cell a=5.169 b=5.169 c=6.072 alpha=108.82 beta=108.82 gamma=30.27
Element x y z (fractional)
K  0.000  0.000  0.000
Be  0.500  0.500  0.500
Ir  0.197  0.197  0.630
Ir  0.803  0.803  0.370

* symmetry: C2/m (12)
* E_tot: -5.31 eV/atom
* total magnetic moment: 0.00 Bohr magnetons per cell
* formation enthalpy at 0 K: 0.33 eV/atom


Entry 3:
First-principles (PBE) data for crystalline Pm2IrOs3 at its relaxed geometry, as listed in the Alexandria database.

Unit cell a=5.547 b=5.547 c=5.547 alpha=57.19 beta=57.19 gamma=57.19
Element x y z (fractional)
Pm  0.123  0.123  0.123
Pm  0.877  0.877  0.877
Ir  0.500  0.500  0.500
Os  0.000  0.500  0.500
Os  0.500  0.000  0.500
Os  0.500  0.500  0.000

* symmetry: R-3m (166)
* E_tot: -8.97 eV/atom
* total magnetic moment: 0.00 Bohr magnetons per cell
* formation enthalpy at 0 K: -0.29 eV/atom


Entry 4:
First-principles (PBE) data for crystalline Hf8Te2C at its relaxed geometry, as listed in the Alexandria database.

Unit cell a=6.346 b=6.346 c=7.403 alpha=112.85 beta=112.85 gamma=66.86
Element x y z (fractional)
Hf  0.057  0.057  0.245
Hf  0.066  0.602  0.367
Hf  0.398  0.934  0.633
Hf  0.441  0.441  0.737
Hf  0.559  0.559  0.263
Hf  0.602  0.066  0.367
Hf  0.934  0.398  0.633
Hf  0.943  0.943  0.755
Te  0.248  0.248  0.021
Te  0.752  0.752  0.979
C  0.000  0.000  0.500

* symmetry: C2/m (12)
* E_tot: -8.87 eV/atom
* ΔE_f (raw): -0.2192 eV/atom
* total magnetic moment: 0.00 Bohr magnetons per cell


Entry 5:
First-principles (PBE) data for crystalline Ce2Er2Co3 at its relaxed geometry, as listed in the Alexandria database.

Unit cell a=3.958 b=5.635 c=6.864 alpha=87.16 beta=78.86 gamma=71.03
Element x y z (fractional)
Ce  0.159  0.192  0.406
Ce  0.841  0.808  0.594
Er  0.398  0.289  0.879
Er  0.602  0.711  0.121
Co  0.154  0.841  0.838
Co  0.500  0.500  0.500
Co  0.846  0.159  0.162

* symmetry: P-1 (2)
* E_tot: -6.27 eV/atom
* offset from the most stable computed form: 0 meV/atom
* total magnetic moment: 0.00 Bohr magnetons per cell
* formation enthalpy at 0 K: -0.23 eV/atom


Entry 6:
First-principles (PBE) data for crystalline CdCuSnHg2 at its relaxed geometry, as listed in the Alexandria database.

Unit cell a=5.128 b=5.128 c=5.096 alpha=90.00 beta=90.00 gamma=90.00
Element x y z (fractional)
Cd  0.000  0.000  0.000
Cu  0.500  0.500  0.500
Sn  0.500  0.500  0.000
Hg  0.000  0.500  0.500
Hg  0.500  0.000  0.500

* symmetry: P4/mmm (123)
* E_tot: -1.72 eV/atom
* total magnetic moment: 0.00 Bohr magnetons per cell
* formation enthalpy at 0 K: 0.20 eV/atom